(1)
The following is a PBE calculation of a relaxed Tb2PrCo crystal, from Alexandria via LeMat-Bulk.

Computed properties:
ΔE_f, kJ/mol of atoms: 11.8
Relative energy among the computed polymorphs, kcal/mol of atoms: 5.46
E_tot, eV/atom: -5.16
Spin magnetization, μB/f.u.: 0.0
Space-group type: R-3m (166)
Crystal system: trigonal

abc: 3.6733 3.6733 10.5858
angles: 80.01 80.01 60.00
Closest atoms and distances in Å follow each position.
Fractional positions:
Pr (0.0000, 0.0000, 0.0000)  2 Tb 3.61, 6 Pr 3.67
Co (0.5000, 0.5000, 0.5000)  6 Tb 2.64
Tb (0.1161, 0.1161, 0.6517)  3 Co 2.64
Tb (0.8839, 0.8839, 0.3483)  3 Co 2.64

(2)
The following is a PBE calculation of a relaxed Tb12PrCo6 crystal, from Alexandria via LeMat-Bulk.

Computed properties:
ΔE_f, kJ/mol of atoms: -12.0
E_tot, eV/atom: -5.54
Spin magnetization, μB/f.u.: 0.0
Space-group type: Im-3 (204)
Crystal system: cubic

abc: 8.5087 8.5087 8.5087
angles: 109.47 109.47 109.47
Closest atoms and distances in Å follow each position.
Fractional positions:
Tb (0.3098, 0.1155, 0.8057)  3 Co 2.66-2.89
Tb (0.3098, 0.5041, 0.1943)  3 Co 2.66-2.89
Tb (0.6902, 0.4959, 0.8057)  3 Co 2.66-2.89
Tb (0.6902, 0.8845, 0.1943)  3 Co 2.66-2.89
Tb (0.1155, 0.8057, 0.3098)  3 Co 2.66-2.89
Tb (0.5041, 0.1943, 0.3098)  3 Co 2.66-2.89
Tb (0.4959, 0.8057, 0.6902)  3 Co 2.66-2.89
Tb (0.8845, 0.1943, 0.6902)  3 Co 2.66-2.89
Tb (0.8057, 0.3098, 0.1155)  3 Co 2.66-2.89
Tb (0.1943, 0.3098, 0.5041)  3 Co 2.66-2.89
Tb (0.8057, 0.6902, 0.4959)  3 Co 2.66-2.89
Tb (0.1943, 0.6902, 0.8845)  3 Co 2.66-2.89
Pr (0.0000, 0.0000, 0.0000)  12 Tb 3.59
Co (0.3872, 0.5000, 0.8872)  1 Co 2.22
Co (0.6128, 0.5000, 0.1128)  1 Co 2.22
Co (0.5000, 0.8872, 0.3872)  1 Co 2.22
Co (0.5000, 0.1128, 0.6128)  1 Co 2.22
Co (0.8872, 0.3872, 0.5000)  1 Co 2.22
Co (0.1128, 0.6128, 0.5000)  1 Co 2.22

(3)
The following is a PBE calculation of a relaxed Pr3Co3Te crystal, from Alexandria via LeMat-Bulk.

Computed properties:
Formation energy from raw total energies, meV/atom: -405
E_tot, eV/atom: -5.95
Spin magnetization, μB/f.u.: 2.2
Space-group type: P6_3/m (176)
Crystal system: hexagonal

abc: 4.1198 9.7068 9.7068
angles: 120.00 90.00 90.00
Closest atoms and distances in Å follow each position.
Fractional positions:
Pr (0.7500, 0.3833, 0.3105)  4 Co 2.87-3.09
Pr (0.7500, 0.9272, 0.6167)  4 Co 2.87-3.09
Pr (0.7500, 0.6895, 0.0728)  4 Co 2.87-3.09
Pr (0.2500, 0.6167, 0.6895)  4 Co 2.87-3.09
Pr (0.2500, 0.0728, 0.3833)  4 Co 2.87-3.09
Pr (0.2500, 0.3105, 0.9272)  4 Co 2.87-3.09
Co (0.7500, 0.0161, 0.1490)  6 Co 2.38-2.48
Co (0.7500, 0.1329, 0.9839)  6 Co 2.38-2.48
Co (0.7500, 0.8510, 0.8671)  6 Co 2.38-2.48
Co (0.2500, 0.9839, 0.8510)  6 Co 2.38-2.48
Co (0.2500, 0.8671, 0.0161)  6 Co 2.38-2.48
Co (0.2500, 0.1490, 0.1329)  6 Co 2.38-2.48
Te (0.7500, 0.3333, 0.6667)  9 Pr 3.35-3.72
Te (0.2500, 0.6667, 0.3333)  9 Pr 3.35-3.72

(4)
The following is a PBE calculation of a relaxed Pr12Co6Te crystal, from Alexandria via LeMat-Bulk.

Computed properties:
Formation energy from raw total energies, meV/atom: -184
E_tot, eV/atom: -5.61
Spin magnetization, μB/f.u.: 0.0
Space-group type: Im-3 (204)
Crystal system: cubic

abc: 8.7832 8.7832 8.7832
angles: 109.47 109.47 109.47
Closest atoms and distances in Å follow each position.
Fractional positions:
Pr (0.3091, 0.1140, 0.8048)  3 Co 2.77-2.98
Pr (0.3091, 0.5043, 0.1952)  3 Co 2.77-2.98
Pr (0.6909, 0.4957, 0.8048)  3 Co 2.77-2.98
Pr (0.6909, 0.8860, 0.1952)  3 Co 2.77-2.98
Pr (0.1140, 0.8048, 0.3091)  3 Co 2.77-2.98
Pr (0.5043, 0.1952, 0.3091)  3 Co 2.77-2.98
Pr (0.4957, 0.8048, 0.6909)  3 Co 2.77-2.98
Pr (0.8860, 0.1952, 0.6909)  3 Co 2.77-2.98
Pr (0.8048, 0.3091, 0.1140)  3 Co 2.77-2.98
Pr (0.1952, 0.3091, 0.5043)  3 Co 2.77-2.98
Pr (0.8048, 0.6909, 0.4957)  3 Co 2.77-2.98
Pr (0.1952, 0.6909, 0.8860)  3 Co 2.77-2.98
Co (0.3901, 0.5000, 0.8901)  1 Co 2.23
Co (0.6099, 0.5000, 0.1099)  1 Co 2.23
Co (0.5000, 0.8901, 0.3901)  1 Co 2.23
Co (0.5000, 0.1099, 0.6099)  1 Co 2.23
Co (0.8901, 0.3901, 0.5000)  1 Co 2.23
Co (0.1099, 0.6099, 0.5000)  1 Co 2.23
Te (0.0000, 0.0000, 0.0000)  12 Pr 3.71

(5)
The following is a PBE calculation of a relaxed Pr3Co5Te12 crystal, from Alexandria via LeMat-Bulk.

Computed properties:
Formation energy from raw total energies, meV/atom: -438
E_tot, eV/atom: -4.82
Spin magnetization, μB/f.u.: 5.4
Space-group type: Ia-3d (230)
Crystal system: cubic

abc: 14.2954 14.2954 14.2954
angles: 109.47 109.47 109.47
Closest atoms and distances in Å follow each position.
Fractional positions:
Pr (0.7500, 0.3750, 0.1250)  8 Te 3.28-3.29
Pr (0.8750, 0.7500, 0.1250)  8 Te 3.28-3.29
Pr (0.3750, 0.7500, 0.6250)  8 Te 3.28-3.29
Pr (0.2500, 0.1250, 0.3750)  8 Te 3.28-3.29
Pr (0.8750, 0.1250, 0.2500)  8 Te 3.28-3.29
Pr (0.3750, 0.6250, 0.2500)  8 Te 3.28-3.29
Pr (0.6250, 0.3750, 0.7500)  8 Te 3.28-3.29
Pr (0.1250, 0.8750, 0.7500)  8 Te 3.28-3.29
Pr (0.7500, 0.8750, 0.6250)  8 Te 3.28-3.29
Pr (0.6250, 0.2500, 0.3750)  8 Te 3.28-3.29
Pr (0.1250, 0.2500, 0.8750)  8 Te 3.28-3.29
Pr (0.2500, 0.6250, 0.8750)  8 Te 3.28-3.29
Co (0.1250, 0.3750, 0.2500)  4 Te 2.48
Co (0.0000, 0.5000, 0.0000)  6 Te 2.60
Co (0.0000, 0.0000, 0.0000)  6 Te 2.60
Co (0.3750, 0.2500, 0.1250)  4 Te 2.48
Co (0.5000, 0.0000, 0.5000)  6 Te 2.60
Co (0.5000, 0.5000, 0.0000)  6 Te 2.60
Co (0.1250, 0.7500, 0.3750)  4 Te 2.48
Co (0.7500, 0.1250, 0.8750)  4 Te 2.48
Co (0.7500, 0.6250, 0.3750)  4 Te 2.48
Co (0.3750, 0.1250, 0.7500)  4 Te 2.48
Co (0.6250, 0.8750, 0.2500)  4 Te 2.48
Co (0.5000, 0.5000, 0.5000)  6 Te 2.60
Co (0.5000, 0.0000, 0.0000)  6 Te 2.60
Co (0.0000, 0.0000, 0.5000)  6 Te 2.60
Co (0.2500, 0.3750, 0.6250)  4 Te 2.48
Co (0.2500, 0.8750, 0.1250)  4 Te 2.48
Co (0.0000, 0.5000, 0.5000)  6 Te 2.60
Co (0.8750, 0.2500, 0.6250)  4 Te 2.48
Co (0.6250, 0.7500, 0.8750)  4 Te 2.48
Co (0.8750, 0.6250, 0.7500)  4 Te 2.48
Te (0.6985, 0.1099, 0.0208)  2 Co 2.48-2.60
Te (0.3222, 0.5208, 0.4108)  2 Co 2.48-2.60
Te (0.9792, 0.3901, 0.3015)  2 Co 2.48-2.60
Te (0.5208, 0.1985, 0.1099)  2 Co 2.48-2.60
Te (0.5886, 0.6985, 0.6778)  2 Co 2.48-2.60
Te (0.9792, 0.5892, 0.1778)  2 Co 2.48-2.60
Te (0.3222, 0.8015, 0.4114)  2 Co 2.48-2.60
Te (0.0892, 0.9114, 0.1099)  2 Co 2.48-2.60
Te (0.5892, 0.9792, 0.6778)  2 Co 2.48-2.60
Te (0.6985, 0.5886, 0.1778)  2 Co 2.48-2.60
Te (0.8015, 0.4792, 0.3901)  2 Co 2.48-2.60
Te (0.8222, 0.9108, 0.0208)  2 Co 2.48-2.60
Te (0.1099, 0.6985, 0.5208)  2 Co 2.48-2.60
Te (0.3901, 0.4108, 0.0886)  2 Co 2.48-2.60
Te (0.0886, 0.9108, 0.3901)  2 Co 2.48-2.60
Te (0.4114, 0.1099, 0.5892)  2 Co 2.48-2.60
Te (0.0886, 0.1778, 0.1985)  2 Co 2.48-2.60
Te (0.4792, 0.6778, 0.0892)  2 Co 2.48-2.60
Te (0.8222, 0.9114, 0.3015)  2 Co 2.48-2.60
Te (0.1099, 0.4114, 0.0892)  2 Co 2.48-2.60
Te (0.3901, 0.9792, 0.8015)  2 Co 2.48-2.60
Te (0.5892, 0.6099, 0.4114)  2 Co 2.48-2.60
Te (0.9108, 0.8222, 0.5208)  2 Co 2.48-2.60
Te (0.8015, 0.3222, 0.9114)  2 Co 2.48-2.60
Te (0.4108, 0.3901, 0.5886)  2 Co 2.48-2.60
Te (0.0892, 0.1778, 0.4792)  2 Co 2.48-2.60
Te (0.1985, 0.6778, 0.0886)  2 Co 2.48-2.60
Te (0.1778, 0.0886, 0.6985)  2 Co 2.48-2.60
Te (0.6099, 0.0208, 0.1985)  2 Co 2.48-2.60
Te (0.8901, 0.5886, 0.9108)  2 Co 2.48-2.60
Te (0.5208, 0.3222, 0.9108)  2 Co 2.48-2.60
Te (0.5886, 0.8901, 0.4108)  2 Co 2.48-2.60
Te (0.9114, 0.8222, 0.8015)  2 Co 2.48-2.60
Te (0.9114, 0.0892, 0.6099)  2 Co 2.48-2.60
Te (0.8901, 0.3015, 0.4792)  2 Co 2.48-2.60
Te (0.1778, 0.0892, 0.9792)  2 Co 2.48-2.60
Te (0.6099, 0.5892, 0.9114)  2 Co 2.48-2.60
Te (0.4108, 0.0208, 0.3222)  2 Co 2.48-2.60
Te (0.3015, 0.4114, 0.8222)  2 Co 2.48-2.60
Te (0.1985, 0.5208, 0.6099)  2 Co 2.48-2.60
Te (0.9108, 0.0886, 0.8901)  2 Co 2.48-2.60
Te (0.6778, 0.1985, 0.5886)  2 Co 2.48-2.60
Te (0.4792, 0.8015, 0.8901)  2 Co 2.48-2.60
Te (0.0208, 0.4108, 0.8222)  2 Co 2.48-2.60
Te (0.4114, 0.3015, 0.3222)  2 Co 2.48-2.60
Te (0.0208, 0.6099, 0.6985)  2 Co 2.48-2.60
Te (0.6778, 0.4792, 0.5892)  2 Co 2.48-2.60
Te (0.3015, 0.8901, 0.9792)  2 Co 2.48-2.60

(6)
The following is a PBE calculation of a relaxed PrTh2Co crystal, from Alexandria via LeMat-Bulk.

Computed properties:
ΔE_f, kJ/mol of atoms: -8.9
Relative energy among the computed polymorphs, kcal/mol of atoms: 1.52
E_tot, eV/atom: -6.77
Spin magnetization, μB/f.u.: 0.0
Space-group type: R3m (160)
Crystal system: trigonal

abc: 3.8642 3.8642 9.3667
angles: 78.10 78.10 60.00
Closest atoms and distances in Å follow each position.
Fractional positions:
Pr (0.4993, 0.4993, 0.5020)  6 Th 3.69-3.74, 6 Pr 3.86
Th (0.0583, 0.0583, 0.8250)  3 Co 2.75
Th (0.2762, 0.2762, 0.1715)  3 Co 2.71
Co (0.6661, 0.6661, 0.0016)  6 Th 2.71-2.75

(7)
The following is a PBE calculation of a relaxed PrThCo4 crystal, from Alexandria via LeMat-Bulk.

Computed properties:
ΔE_f, kJ/mol of atoms: -8.2
Relative energy among the computed polymorphs, kcal/mol of atoms: 2.51
E_tot, eV/atom: -6.86
Spin magnetization, μB/f.u.: 0.0
Space-group type: F-43m (216)
Crystal system: cubic

abc: 5.1286 5.1286 5.1286
angles: 60.00 60.00 60.00
Closest atoms and distances in Å follow each position.
Fractional positions:
Pr (0.2500, 0.2500, 0.2500)  12 Co 3.01, 4 Th 3.14
Co (0.6252, 0.6252, 0.1243)  6 Co 2.56-2.57
Co (0.6252, 0.1243, 0.6252)  6 Co 2.56-2.57
Co (0.6252, 0.6252, 0.6252)  6 Co 2.56-2.57
Co (0.1243, 0.6252, 0.6252)  6 Co 2.56-2.57
Th (0.0000, 0.0000, 0.0000)  12 Co 3.01, 4 Pr 3.14

(8)
The following is a PBE calculation of a relaxed PrTh2Co6 crystal, from Alexandria via LeMat-Bulk.

Computed properties:
ΔE_f, kJ/mol of atoms: 9.1
Relative energy among the computed polymorphs, kcal/mol of atoms: 5.98
E_tot, eV/atom: -6.82
Spin magnetization, μB/f.u.: 3.8
Space-group type: Immm (71)
Crystal system: orthorhombic

abc: 3.9483 7.0975 7.0975
angles: 70.15 73.85 73.85
Closest atoms and distances in Å follow each position.
Fractional positions:
Pr (0.0000, 0.0000, 0.0000)  12 Co 3.45-3.48
Th (0.8363, 0.6637, 0.6637)  2 Co 2.57
Th (0.1637, 0.3363, 0.3363)  2 Co 2.57
Co (0.6887, 0.0558, 0.5668)  3 Co 2.22-2.39
Co (0.3113, 0.9442, 0.4332)  3 Co 2.22-2.39
Co (0.3113, 0.4332, 0.9442)  3 Co 2.22-2.39
Co (0.5000, 0.6534, 0.3466)  2 Co 2.22
Co (0.5000, 0.3466, 0.6534)  2 Co 2.22
Co (0.6887, 0.5668, 0.0558)  3 Co 2.22-2.39

(9)
The following is a PBE calculation of a relaxed PrThCo10 crystal, from Alexandria via LeMat-Bulk.

Computed properties:
ΔE_f, kJ/mol of atoms: -7.5
E_tot, eV/atom: -7.02
Spin magnetization, μB/f.u.: 13.0
Space-group type: Pmmm (47)
Crystal system: orthorhombic

abc: 3.9851 4.9642 8.6779
angles: 90.00 90.00 90.00
Closest atoms and distances in Å follow each position.
Fractional positions:
Pr (0.0000, 0.0000, 0.0000)  18 Co 2.93-3.18
Th (0.0000, 0.5000, 0.5000)  6 Co 2.77-2.85
Co (0.0000, 0.0000, 0.3381)  6 Co 2.44-2.47
Co (0.0000, 0.5000, 0.8189)  6 Co 2.43-2.54
Co (0.0000, 0.5000, 0.1811)  6 Co 2.43-2.54
Co (0.0000, 0.0000, 0.6619)  6 Co 2.44-2.47
Co (0.5000, 0.0000, 0.5000)  8 Co 2.44-2.50
Co (0.5000, 0.5000, 0.0000)  8 Co 2.50-2.54
Co (0.5000, 0.2474, 0.2489)  8 Co 2.43-2.51
Co (0.5000, 0.7526, 0.7511)  8 Co 2.43-2.51
Co (0.5000, 0.7526, 0.2489)  8 Co 2.43-2.51
Co (0.5000, 0.2474, 0.7511)  8 Co 2.43-2.51

(10)
The following is a PBE calculation of a relaxed Pr2Th3Co2 crystal, from Alexandria via LeMat-Bulk.

Computed properties:
ΔE_f, kJ/mol of atoms: -17.5
E_tot, eV/atom: -6.76
Spin magnetization, μB/f.u.: 0.0
Space-group type: C2/m (12)
Crystal system: monoclinic

abc: 3.7436 6.2740 8.9693
angles: 69.54 77.95 72.64
Closest atoms and distances in Å follow each position.
Fractional positions:
Pr (0.1670, 0.4644, 0.2017)  3 Co 3.17-3.43
Pr (0.8330, 0.5356, 0.7983)  3 Co 3.17-3.43
Th (0.5000, 0.0000, 0.0000)  4 Co 2.71
Th (0.3809, 0.8113, 0.4269)  2 Co 2.68
Th (0.6191, 0.1887, 0.5731)  2 Co 2.68
Co (0.1230, 0.9697, 0.7842)  4 Th 2.68-2.71
Co (0.8770, 0.0303, 0.2158)  4 Th 2.68-2.71

(11)
The following is a PBE calculation of a relaxed PrTh2Co crystal, from Alexandria via LeMat-Bulk.

Computed properties:
ΔE_f, kJ/mol of atoms: 0.0
Relative energy among the computed polymorphs, kcal/mol of atoms: 3.63
E_tot, eV/atom: -6.68
Spin magnetization, μB/f.u.: 0.0
Space-group type: P4/mmm (123)
Crystal system: tetragonal

abc: 3.5392 3.5392 8.7720
angles: 90.00 90.00 90.00
Closest atoms and distances in Å follow each position.
Fractional positions:
Pr (0.5000, 0.5000, 0.5000)  4 Pr 3.54, 8 Th 3.75
Co (0.5000, 0.5000, 0.0000)  8 Th 2.97
Th (0.0000, 0.0000, 0.8178)  4 Co 2.97, 1 Th 3.20
Th (0.0000, 0.0000, 0.1822)  4 Co 2.97, 1 Th 3.20

(12)
The following is a PBE calculation of a relaxed Pr2ThCo2 crystal, from Alexandria via LeMat-Bulk.

Computed properties:
ΔE_f, kJ/mol of atoms: -16.2
E_tot, eV/atom: -6.41
Spin magnetization, μB/f.u.: 0.0
Space-group type: C2/c (15)
Crystal system: monoclinic

abc: 6.3854 6.2522 7.2197
angles: 99.28 90.00 120.71
Closest atoms and distances in Å follow each position.
Fractional positions:
Pr (0.5533, 0.3075, 0.1475)  4 Co 2.94-3.03
Pr (0.2458, 0.6925, 0.3525)  4 Co 2.94-3.03
Pr (0.4467, 0.6925, 0.8525)  4 Co 2.94-3.03
Pr (0.7542, 0.3075, 0.6475)  4 Co 2.94-3.03
Th (0.9297, 0.0000, 0.2500)  4 Co 2.68-2.69
Th (0.0703, 0.0000, 0.7500)  4 Co 2.68-2.69
Co (0.6866, 0.6915, 0.4906)  1 Co 2.39
Co (0.9951, 0.3085, 0.0094)  1 Co 2.39
Co (0.3134, 0.3085, 0.5094)  1 Co 2.39
Co (0.0049, 0.6915, 0.9906)  1 Co 2.39

Q: What is the spin magnetization in the tenth record?
A: 0.0 μB/f.u.